This record from Alexandria describes a PBEsol-optimized structure of LiBe2BrO. The functional is SCAN.

It has space group P4/mmm (No. 123), with a = 4.3508 Å, b = 4.3508 Å, c = 4.4614 Å, α = 90.00°, β = 90.00° and γ = 90.00°. The inequivalent atoms are Li at (0.0000, 0.0000, 0.0000), Be at (0.0000, 0.5000, 0.5000), Br at (0.5000, 0.5000, 0.5000) and O at (0.5000, 0.5000, 0.0000).



This record from Alexandria describes a PBEsol-optimized structure of Li4Be3P3BrO12. The functional is SCAN.

It has space group P-43n (No. 218), with a = 8.0755 Å, b = 8.0755 Å, c = 8.0755 Å, α = 90.00°, β = 90.00° and γ = 90.00°. The inequivalent atoms are Li at (0.1818, 0.1818, 0.1818), Be at (0.0000, 0.2500, 0.5000), P at (0.0000, 0.5000, 0.2500), Br at (0.0000, 0.0000, 0.0000) and O at (0.0824, 0.3637, 0.6441).



This record from Alexandria describes a PBEsol-optimized structure of LiBeSe2Br. The functional is SCAN.

It has space group P4/mmm (No. 123), with a = 4.2700 Å, b = 4.2700 Å, c = 6.4962 Å, α = 90.00°, β = 90.00° and γ = 90.00°. The inequivalent atoms are Li at (0.0000, 0.0000, 0.0000), Be at (0.5000, 0.5000, 0.5000), Se at (0.0000, 0.5000, 0.5000) and Br at (0.5000, 0.5000, 0.0000).



This record from Alexandria describes a PBEsol-optimized structure of MgBe2Br. The functional is SCAN.

The value obtained for the relative energy among the computed polymorphs is 0.310 eV/atom.

It has space group C2/m (No. 12), with a = 5.2701 Å, b = 9.7016 Å, c = 3.3079 Å, α = 90.00°, β = 128.41° and γ = 90.00°. The inequivalent atoms are Mg at (0.0000, 0.0000, 0.0000), Be at (0.2500, 0.2500, 0.0000) and Br at (0.0000, 0.5000, 0.0000).



This record from Alexandria describes a PBEsol-optimized structure of MgBeBr2. The functional is SCAN.

The value obtained for the relative energy among the computed polymorphs is 0.239 eV/atom.

It has space group Immm (No. 71), with a = 3.3374 Å, b = 4.6759 Å, c = 12.1456 Å, α = 90.00°, β = 90.00° and γ = 90.00°. The inequivalent atoms are Mg at (0.0000, 0.0000, 0.0000), Be at (0.0000, 0.0000, 0.5000) and Br at (0.0000, 0.5000, 0.1387).



This record from Alexandria describes a PBEsol-optimized structure of MgBe2Br. The functional is SCAN.

The value obtained for the relative energy among the computed polymorphs is 0.361 eV/atom.

It has space group I-42d (No. 122), with a = 7.1481 Å, b = 7.1481 Å, c = 5.2534 Å, α = 90.00°, β = 90.00° and γ = 90.00°. The inequivalent atoms are Mg at (0.0000, 0.0000, 0.0000), Be at (0.2240, 0.7500, 0.6250) and Br at (0.0000, 0.0000, 0.5000).



This record from Alexandria describes a PBEsol-optimized structure of Mg2BeBr. The functional is SCAN.

The value obtained for the relative energy among the computed polymorphs is 0.000 eV/atom.

It has space group Imm2 (No. 44), with a = 3.2446 Å, b = 3.3631 Å, c = 15.2541 Å, α = 90.00°, β = 90.00° and γ = 90.00°. The inequivalent atoms are Mg at (0.0000, 0.0000, 0.0000), Mg at (0.0000, 0.5000, 0.2147), Be at (0.0000, 0.5000, 0.6333) and Br at (0.0000, 0.0000, 0.3878).



This record from Alexandria describes a PBEsol-optimized structure of MgBeBr2. The functional is SCAN.

The value obtained for the relative energy among the computed polymorphs is 0.792 eV/atom.

It has space group P4/mmm (No. 123), with a = 4.8182 Å, b = 4.8182 Å, c = 3.4470 Å, α = 90.00°, β = 90.00° and γ = 90.00°. The inequivalent atoms are Mg at (0.0000, 0.0000, 0.0000), Be at (0.5000, 0.5000, 0.0000) and Br at (0.0000, 0.5000, 0.5000).



This record from Alexandria describes a PBEsol-optimized structure of MgBeBr2. The functional is SCAN.

The value obtained for the relative energy among the computed polymorphs is 0.000 eV/atom.

It has space group Cm (No. 8), with a = 6.0587 Å, b = 3.4998 Å, c = 8.6652 Å, α = 90.00°, β = 103.40° and γ = 90.00°. The inequivalent atoms are Mg at (0.0000, 0.0000, 0.0000), Be at (0.2505, 0.5000, 0.2509), Br at (0.2679, 0.0000, 0.8020) and Br at (0.4647, 0.0000, 0.3945).



This record from Alexandria describes a PBEsol-optimized structure of Mg2BeBr. The functional is SCAN.

The value obtained for the relative energy among the computed polymorphs is 0.346 eV/atom.

It has space group Pmmm (No. 47), with a = 3.2665 Å, b = 4.4314 Å, c = 6.0366 Å, α = 90.00°, β = 90.00° and γ = 90.00°. The inequivalent atoms are Mg at (0.0000, 0.0000, 0.0000), Mg at (0.5000, 0.0000, 0.5000), Be at (0.0000, 0.5000, 0.5000) and Br at (0.5000, 0.5000, 0.0000).



This record from Alexandria describes a PBEsol-optimized structure of Mg2BeBr. The functional is SCAN.

The value obtained for the relative energy among the computed polymorphs is 0.170 eV/atom.

It has space group P2/m (No. 10), with a = 4.5061 Å, b = 3.3625 Å, c = 5.5523 Å, α = 90.00°, β = 104.33° and γ = 90.00°. The inequivalent atoms are Mg at (0.0000, 0.0000, 0.0000), Mg at (0.5000, 0.5000, 0.5000), Be at (0.0000, 0.0000, 0.5000) and Br at (0.5000, 0.5000, 0.0000).



This record from Alexandria describes a PBEsol-optimized structure of MgBe2Br. The functional is SCAN.

The value obtained for the relative energy among the computed polymorphs is 0.000 eV/atom.

It has space group Pmm2 (No. 25), with a = 3.0794 Å, b = 3.1625 Å, c = 7.6833 Å, α = 90.00°, β = 90.00° and γ = 90.00°. The inequivalent atoms are Mg at (0.0000, 0.0000, 0.0000), Be at (0.0000, 0.0000, 0.3348), Be at (0.5000, 0.5000, 0.2710) and Br at (0.5000, 0.5000, 0.7967).



This record from Alexandria describes a PBEsol-optimized structure of MgBeBr2. The functional is SCAN.

The value obtained for the relative energy among the computed polymorphs is 0.210 eV/atom.

It has space group R-3m (No. 166, hexagonal axes), with a = 3.3877 Å, b = 3.3877 Å, c = 27.8353 Å, α = 90.00°, β = 90.00° and γ = 120.00°. The inequivalent atoms are Mg at (0.0000, 0.0000, 0.0000), Be at (0.0000, 0.0000, 0.5000) and Br at (0.0000, 0.0000, 0.1172).



This record from Alexandria describes a PBEsol-optimized structure of MnBeBr2. The functional is SCAN.

The value obtained for the relative energy among the computed polymorphs is 0.241 eV/atom.

It has space group Cmmm (No. 65), with a = 3.2065 Å, b = 6.1125 Å, c = 9.1560 Å, α = 90.00°, β = 90.00° and γ = 90.00°. The inequivalent atoms are Mn at (0.0000, 0.0000, 0.0000), Be at (0.0000, 0.0000, 0.5000) and Br at (0.0000, 0.5000, 0.3270).



This record from Alexandria describes a PBEsol-optimized structure of MnBeBr2. The functional is SCAN.

The value obtained for the relative energy among the computed polymorphs is 0.000 eV/atom.

It has space group Pmm2 (No. 25), with a = 3.2168 Å, b = 3.3468 Å, c = 7.5754 Å, α = 90.00°, β = 90.00° and γ = 90.00°. The inequivalent atoms are Mn at (0.0000, 0.0000, 0.0000), Be at (0.5000, 0.5000, 0.1627), Br at (0.0000, 0.5000, 0.3551) and Br at (0.5000, 0.0000, 0.7569).



This record from Alexandria describes a PBEsol-optimized structure of Be2MoBr. The functional is SCAN.

The value obtained for the relative energy among the computed polymorphs is 0.000 eV/atom.

It has space group P4mm (No. 99), with a = 2.9072 Å, b = 2.9072 Å, c = 7.2421 Å, α = 90.00°, β = 90.00° and γ = 90.00°. The inequivalent atoms are Be at (0.0000, 0.0000, 0.0000), Be at (0.5000, 0.5000, 0.1281), Mo at (0.5000, 0.5000, 0.7857) and Br at (0.0000, 0.0000, 0.5553).



This record from Alexandria describes a PBEsol-optimized structure of Be2MoBr. The functional is SCAN.

The value obtained for the relative energy among the computed polymorphs is 0.147 eV/atom.

It has space group Cmmm (No. 65), with a = 5.0337 Å, b = 7.4504 Å, c = 2.8497 Å, α = 90.00°, β = 90.00° and γ = 90.00°. The inequivalent atoms are Be at (0.2500, 0.2500, 0.0000), Mo at (0.0000, 0.0000, 0.5000) and Br at (0.0000, 0.5000, 0.5000).



This record from Alexandria describes a PBEsol-optimized structure of Be2MoBr. The functional is SCAN.

The value obtained for the relative energy among the computed polymorphs is 0.708 eV/atom.

It has space group Fm-3m (No. 225), with a = 5.9907 Å, b = 5.9907 Å, c = 5.9907 Å, α = 90.00°, β = 90.00° and γ = 90.00°. The inequivalent atoms are Be at (0.2500, 0.2500, 0.2500), Mo at (0.0000, 0.0000, 0.0000) and Br at (0.0000, 0.0000, 0.5000).



This record from Alexandria describes a PBEsol-optimized structure of Be2MoBr. The functional is SCAN.

The value obtained for the relative energy among the computed polymorphs is 0.151 eV/atom.

It has space group C2/m (No. 12), with a = 8.5489 Å, b = 2.9317 Å, c = 4.7714 Å, α = 90.00°, β = 94.50° and γ = 90.00°. The inequivalent atoms are Be at (0.2144, 0.0000, 0.3556), Mo at (0.0000, 0.5000, 0.5000) and Br at (0.0000, 0.0000, 0.0000).



This record from Alexandria describes a PBEsol-optimized structure of BeMoOsBr2. The functional is SCAN.

It has space group P4/mmm (No. 123), with a = 4.2005 Å, b = 4.2005 Å, c = 5.0473 Å, α = 90.00°, β = 90.00° and γ = 90.00°. The inequivalent atoms are Be at (0.0000, 0.0000, 0.0000), Mo at (0.0000, 0.0000, 0.5000), Os at (0.5000, 0.5000, 0.5000) and Br at (0.0000, 0.5000, 0.0000).



This record from Alexandria describes a PBEsol-optimized structure of BeBrN2. The functional is SCAN.

It has space group Fm-3m (No. 225), with a = 5.3772 Å, b = 5.3772 Å, c = 5.3772 Å, α = 90.00°, β = 90.00° and γ = 90.00°. The inequivalent atoms are Be at (0.0000, 0.0000, 0.0000), Br at (0.0000, 0.0000, 0.5000) and N at (0.2500, 0.2500, 0.2500).



This record from Alexandria describes a PBEsol-optimized structure of BeBr2N. The functional is SCAN.

It has space group Fm-3m (No. 225), with a = 6.4803 Å, b = 6.4803 Å, c = 6.4803 Å, α = 90.00°, β = 90.00° and γ = 90.00°. The inequivalent atoms are Be at (0.0000, 0.0000, 0.0000), Br at (0.2500, 0.2500, 0.2500) and N at (0.0000, 0.0000, 0.5000).



This record from Alexandria describes a PBEsol-optimized structure of BeRhBrN2. The functional is SCAN.

It has space group P4/mmm (No. 123), with a = 3.8637 Å, b = 3.8637 Å, c = 4.0751 Å, α = 90.00°, β = 90.00° and γ = 90.00°. The inequivalent atoms are Be at (0.0000, 0.0000, 0.0000), Rh at (0.5000, 0.5000, 0.0000), Br at (0.0000, 0.0000, 0.5000) and N at (0.0000, 0.5000, 0.5000).



This record from Alexandria describes a PBEsol-optimized structure of BeS2BrN. The functional is SCAN.

It has space group P4/mmm (No. 123), with a = 4.8611 Å, b = 4.8611 Å, c = 3.6261 Å, α = 90.00°, β = 90.00° and γ = 90.00°. The inequivalent atoms are Be at (0.0000, 0.0000, 0.0000), S at (0.0000, 0.5000, 0.5000), Br at (0.5000, 0.5000, 0.5000) and N at (0.5000, 0.5000, 0.0000).



This record from Alexandria describes a PBEsol-optimized structure of Be2SeBrN. The functional is SCAN.

It has space group P4/mmm (No. 123), with a = 4.3379 Å, b = 4.3379 Å, c = 5.3405 Å, α = 90.00°, β = 90.00° and γ = 90.00°. The inequivalent atoms are Be at (0.0000, 0.5000, 0.0000), Se at (0.0000, 0.0000, 0.0000), Br at (0.0000, 0.0000, 0.5000) and N at (0.5000, 0.5000, 0.5000).



This record from Alexandria describes a PBEsol-optimized structure of Na2YBeBr. The functional is SCAN.

It has space group P4/mmm (No. 123), with a = 5.1717 Å, b = 5.1717 Å, c = 5.2500 Å, α = 90.00°, β = 90.00° and γ = 90.00°. The inequivalent atoms are Na at (0.0000, 0.5000, 0.0000), Y at (0.0000, 0.0000, 0.5000), Be at (0.0000, 0.0000, 0.0000) and Br at (0.5000, 0.5000, 0.5000).



This record from Alexandria describes a PBEsol-optimized structure of BeNb2Br. The functional is SCAN.

It has space group Fm-3m (No. 225), with a = 6.2579 Å, b = 6.2579 Å, c = 6.2579 Å, α = 90.00°, β = 90.00° and γ = 90.00°. The inequivalent atoms are Be at (0.0000, 0.0000, 0.0000), Nb at (0.2500, 0.2500, 0.2500) and Br at (0.0000, 0.0000, 0.5000).



Number 1: ρ 2.38 g/cm³, formation energy from raw total energies 961 meV/atom. Number 2: ρ 2.65 g/cm³, formation energy from raw total energies -2706 meV/atom. Number 3: ρ 3.56 g/cm³, formation energy from raw total energies -420 meV/atom. Number 4: ρ 3.06 g/cm³, formation energy from raw total energies 517 meV/atom. Number 5: ρ 3.38 g/cm³, formation energy from raw total energies -404 meV/atom. Number 6: ρ 3.02 g/cm³, formation energy from raw total energies 568 meV/atom. Number 7: ρ 2.74 g/cm³, formation energy from raw total energies -62 meV/atom. Number 8: ρ 4.01 g/cm³, formation energy from raw total energies 149 meV/atom. Number 9: ρ 3.59 g/cm³, formation energy from raw total energies -643 meV/atom. Number 10: ρ 2.61 g/cm³, formation energy from raw total energies 285 meV/atom. Number 11: ρ 2.80 g/cm³, formation energy from raw total energies 109 meV/atom. Number 12: ρ 2.71 g/cm³, formation energy from raw total energies 206 meV/atom. Number 13: ρ 3.48 g/cm³, formation energy from raw total energies -433 meV/atom. Number 14: ρ 4.14 g/cm³, formation energy from raw total energies -27 meV/atom. Number 15: ρ 4.56 g/cm³, formation energy from raw total energies -268 meV/atom. Number 16: ρ 5.26 g/cm³, formation energy from raw total energies 613 meV/atom. Number 17: ρ 6.02 g/cm³, formation energy from raw total energies 760 meV/atom. Number 18: ρ 5.99 g/cm³, formation energy from raw total energies 1321 meV/atom. Number 19: ρ 5.40 g/cm³, formation energy from raw total energies 764 meV/atom. Number 20: ρ 8.48 g/cm³, formation energy from raw total energies 1687 meV/atom. Number 21: ρ 5.00 g/cm³, formation energy from raw total energies 2459 meV/atom. Number 22: ρ 4.46 g/cm³, formation energy from raw total energies 1277 meV/atom. Number 23: ρ 6.00 g/cm³, formation energy from raw total energies 2412 meV/atom. Number 24: ρ 3.24 g/cm³, formation energy from raw total energies 1864 meV/atom. Number 25: ρ 3.15 g/cm³, formation energy from raw total energies 1598 meV/atom. Number 26: ρ 2.65 g/cm³, formation energy from raw total energies 117 meV/atom. Number 27: ρ 7.45 g/cm³, formation energy from raw total energies 599 meV/atom.